1.
AcTl3Se3, optimized geometry, DFT PBE-GGA; uncorrected energy = -3.998 eV per atom; E_form (uncorrected) = -0.90 eV per atom
1.0
-4.410 4.579 6.702
4.410 -4.579 6.702
4.410 4.579 -6.702
Ac Tl Se
2 6 6
Cartesian
0.000 2.289 2.906 Ac
4.410 2.289 3.797 Ac
2.180 0.000 0.000 Tl
6.641 0.000 0.000 Tl
4.410 -2.289 3.366 Tl
2.180 4.579 0.000 Tl
2.231 0.000 6.702 Tl
0.000 6.868 3.336 Tl
4.410 -2.289 6.618 Se
2.205 4.797 -3.351 Se
2.205 0.218 3.351 Se
-2.205 4.361 3.351 Se
2.205 4.361 3.351 Se
0.000 6.868 0.085 Se

=====

2.
Ac7Ag2Pd2, optimized geometry, DFT PBE-GGA; uncorrected energy = -4.295 eV per atom; formation enthalpy at 0 K = -0.218 eV per atom
1.0
4.180 -6.193 0.000
4.180 6.193 0.000
0.000 0.000 7.755
Ac Ag Pd
7 2 2
Cartesian
0.000 0.000 0.000 Ac
2.090 3.097 2.045 Ac
2.090 3.097 5.709 Ac
2.090 -3.097 2.045 Ac
2.090 -3.097 5.709 Ac
4.180 0.000 1.971 Ac
4.180 0.000 5.784 Ac
1.425 0.000 3.877 Ag
6.935 0.000 3.877 Ag
4.180 2.483 0.000 Pd
4.180 -2.483 0.000 Pd

=====

3.
AgSeS, optimized geometry, DFT PBE-GGA; uncorrected energy = -3.276 eV per atom; energy above the most stable polymorph in this dataset = 0.66 eV/f.u.; E_form (uncorrected) = 0.21 eV per atom
1.0
2.529 -2.530 0.000
2.529 2.530 0.000
-2.500 0.000 11.003
Ag Se S
2 2 2
Cartesian
0.011 0.000 4.531 Ag
2.548 0.000 6.472 Ag
0.020 0.000 7.447 Se
2.539 0.000 3.556 Se
0.000 0.000 0.948 S
2.558 0.000 10.055 S

=====

4.
Ce2ZnNi9, optimized geometry, DFT PBE-GGA; uncorrected energy = -5.647 eV per atom; formation enthalpy at 0 K = -0.216 eV per atom
1.0
2.430 1.403 8.181
-2.430 1.403 8.181
0.000 -2.806 8.181
Ce Zn Ni
2 1 9
Cartesian
0.000 0.000 3.275 Ce
0.000 0.000 21.268 Ce
0.000 0.000 0.000 Zn
-1.218 -0.703 10.183 Ni
0.000 0.000 8.168 Ni
0.000 -1.406 14.360 Ni
-1.218 0.703 14.360 Ni
0.000 0.000 12.272 Ni
1.218 -0.703 10.183 Ni
0.000 1.406 10.183 Ni
0.000 0.000 16.376 Ni
1.218 0.703 14.360 Ni

=====

5.
RuPbAu4, optimized geometry, DFT PBE-GGA; uncorrected energy = -3.901 eV per atom; formation enthalpy at 0 K = 0.448 eV per atom
1.0
0.000 3.929 3.929
3.929 0.000 3.929
3.929 3.929 0.000
Ru Pb Au
1 1 4
Cartesian
0.000 0.000 0.000 Ru
1.965 1.965 1.965 Pb
4.915 2.943 2.943 Au
2.943 4.915 2.943 Au
2.943 2.943 4.915 Au
4.915 4.915 4.915 Au

=====

6.
ErHgBi2, optimized geometry, DFT PBE-GGA; uncorrected energy = -3.233 eV per atom; energy above the most stable polymorph in this dataset = 1.06 eV/f.u.; formation enthalpy at 0 K = -0.076 eV per atom
1.0
2.264 1.307 9.103
-2.264 1.307 9.103
0.000 -2.614 9.103
Er Hg Bi
1 1 2
Cartesian
0.000 0.000 0.000 Er
0.000 0.000 13.655 Hg
0.000 0.000 10.825 Bi
0.000 0.000 16.484 Bi